DFT (GGA-PBE) results for a relaxed structure of NaHg3F.

a b c (Å): 5.8465 5.8465 5.8465
angles (deg): 90.00 90.00 90.00
Last column: nearest neighbours and their distance in Å.
Element x y z (fractional)
Na 0.0000 0.0000 0.0000  6 Hg 2.92
Hg 0.0000 0.0000 0.5000  2 Na 2.92
Hg 0.0000 0.5000 0.0000  2 Na 2.92
Hg 0.5000 0.0000 0.0000  2 Na 2.92
F 0.5000 0.5000 0.5000  12 Hg 4.13

Computed properties:
Its space group is Pm-3m (221). Its energy above the most stable polymorph in this dataset is 164 meV per atom.

***

DFT (GGA-PBE) results for a relaxed structure of Ca3Hg3Bi.

a b c (Å): 7.4224 7.4224 7.6212
angles (deg): 90.00 90.00 91.61
Last column: nearest neighbours and their distance in Å.
Element x y z (fractional)
Ca 0.0000 0.0000 0.2464  4 Hg 3.28-3.51, 2 Bi 3.34
Ca 0.0000 0.0000 0.7536  4 Hg 3.28-3.51, 2 Bi 3.34
Ca 0.0000 0.5000 0.2449  2 Bi 3.24, 6 Hg 3.25-3.31
Ca 0.0000 0.5000 0.7551  2 Bi 3.24, 6 Hg 3.25-3.31
Ca 0.5000 0.0000 0.2449  2 Bi 3.24, 6 Hg 3.25-3.31
Ca 0.5000 0.0000 0.7551  2 Bi 3.24, 6 Hg 3.25-3.31
Hg 0.2599 0.2599 0.0000  2 Hg 3.14, 6 Ca 3.25-3.28
Hg 0.2832 0.2832 0.5000  6 Ca 3.31-3.51, 2 Bi 3.44
Hg 0.3196 0.6804 0.0000  2 Hg 3.14, 4 Ca 3.27
Hg 0.6804 0.3196 0.0000  2 Hg 3.14, 4 Ca 3.27
Hg 0.7168 0.7168 0.5000  6 Ca 3.31-3.51, 2 Bi 3.44
Hg 0.7401 0.7401 0.0000  2 Hg 3.14, 6 Ca 3.25-3.28
Bi 0.2556 0.7444 0.5000  6 Ca 3.24-3.34, 2 Hg 3.44
Bi 0.7444 0.2556 0.5000  6 Ca 3.24-3.34, 2 Hg 3.44

Computed properties:
Its space group is Cmmm (65). The value obtained for the formation energy is -3.462 eV/f.u.